Arrangement one

# CaAcEu2

A relaxed CaAcEu2 crystal (PBE, Alexandria).

Properties
V	170.9	Å³/cell
M_tot	14.6	μB/f.u.
ρ	5.547	Mg/m³

Lattice parameters (Å, degrees): 6.229 6.229 6.229 60.00 60.00 60.00
Site moments in Bohr magnetons follow the coordinates.
Fractional coordinates of all 4 atoms:
Eu 0.250 0.250 0.250  -6.91
Eu 0.750 0.750 0.750  -6.91
Ac 0.000 0.000 0.000  -0.06
Ca 0.500 0.500 0.500  -0.01

Arrangement two

# CaAcEu2

A relaxed CaAcEu2 crystal (PBE, Alexandria).

Properties
V	176.0	Å³/cell
M_tot	15.2	μB/f.u.
ρ	5.389	Mg/m³

Lattice parameters (Å, degrees): 3.833 3.833 14.008 82.14 82.14 60.00
Site moments in Bohr magnetons follow the coordinates.
Fractional coordinates of all 4 atoms:
Eu 0.089 0.089 0.734  7.00
Eu 0.911 0.911 0.266  7.00
Ac 0.000 0.000 0.000  0.09
Ca 0.500 0.500 0.500  0.00

Arrangement three

# CaAcEu2

A relaxed CaAcEu2 crystal (PBE, Alexandria).

Properties
V	172.9	Å³/cell
M_tot	15.6	μB/f.u.
ρ	5.482	Mg/m³

Lattice parameters (Å, degrees): 5.652 5.532 5.532 90.00 90.00 90.00
Site moments in Bohr magnetons follow the coordinates.
Fractional coordinates of all 4 atoms:
Eu 0.000 0.000 0.500  -6.98
Eu 0.000 0.500 0.000  -6.98
Ac 0.500 0.500 0.500  -0.19
Ca 0.500 0.000 0.000  -0.06

Arrangement four

# CaAcEu2

A relaxed CaAcEu2 crystal (PBE, Alexandria).

Properties
V	172.3	Å³/cell
M_tot	14.9	μB/f.u.
ρ	5.502	Mg/m³

Lattice parameters (Å, degrees): 3.916 3.916 11.236 90.00 90.00 90.00
Site moments in Bohr magnetons follow the coordinates.
Fractional coordinates of all 4 atoms:
Eu 0.000 0.000 0.751  6.95
Eu 0.000 0.000 0.249  6.95
Ac 0.500 0.500 0.000  0.04
Ca 0.500 0.500 0.500  0.05

Of them, the most stable is arrangement four and the least stable is arrangement two.

Arrangement one

# CaAc2Eu

A relaxed CaAc2Eu crystal (PBE, Alexandria).

Properties
V	173.7	Å³/cell
M_tot	7.5	μB/f.u.
ρ	6.175	Mg/m³

Lattice parameters (Å, degrees): 4.410 6.277 6.277 90.00 90.00 90.00
Site moments in Bohr magnetons follow the coordinates.
Fractional coordinates of all 4 atoms:
Eu 0.500 0.500 0.500  6.89
Ac 0.000 0.000 0.500  0.04
Ac 0.000 0.500 0.000  0.04
Ca 0.500 0.000 0.000  0.00

Arrangement two

# CaAc2Eu

A relaxed CaAc2Eu crystal (PBE, Alexandria).

Properties
V	177.3	Å³/cell
M_tot	8.0	μB/f.u.
ρ	6.050	Mg/m³

Lattice parameters (Å, degrees): 3.853 3.853 13.966 82.07 82.07 60.00
Site moments in Bohr magnetons follow the coordinates.
Fractional coordinates of all 4 atoms:
Eu 0.000 0.000 0.000  7.05
Ac 0.088 0.088 0.737  0.07
Ac 0.912 0.912 0.263  0.07
Ca 0.500 0.500 0.500  0.02

Arrangement three

# CaAc2Eu

A relaxed CaAc2Eu crystal (PBE, Alexandria).

Properties
V	173.6	Å³/cell
M_tot	7.5	μB/f.u.
ρ	6.181	Mg/m³

Lattice parameters (Å, degrees): 6.261 6.261 6.261 60.00 60.00 60.00
Site moments in Bohr magnetons follow the coordinates.
Fractional coordinates of all 4 atoms:
Eu 0.000 0.000 0.000  6.91
Ac 0.250 0.250 0.250  0.05
Ac 0.750 0.750 0.750  0.05
Ca 0.500 0.500 0.500  0.01

Of them, the most stable is arrangement three and the least stable is arrangement two.

Arrangement one

# Ca2AcEu

A relaxed Ca2AcEu crystal (PBE, Alexandria).

Properties
V	171.1	Å³/cell
M_tot	7.6	μB/f.u.
ρ	4.457	Mg/m³

Lattice parameters (Å, degrees): 4.392 4.392 8.867 90.00 90.00 90.00
Site moments in Bohr magnetons follow the coordinates.
Fractional coordinates of all 4 atoms:
Eu 0.500 0.500 0.500  7.00
Ac 0.500 0.500 0.000  -0.04
Ca 0.000 0.000 0.744  0.03
Ca 0.000 0.000 0.256  0.03

Arrangement two

# Ca2AcEu

A relaxed Ca2AcEu crystal (PBE, Alexandria).

Properties
V	171.8	Å³/cell
M_tot	7.5	μB/f.u.
ρ	4.438	Mg/m³

Lattice parameters (Å, degrees): 6.240 6.240 6.240 60.00 60.00 60.00
Site moments in Bohr magnetons follow the coordinates.
Fractional coordinates of all 4 atoms:
Eu 0.000 0.000 0.000  6.92
Ac 0.500 0.500 0.500  0.02
Ca 0.250 0.250 0.250  0.02
Ca 0.750 0.750 0.750  0.02

Of them, the most stable is arrangement one and the least stable is arrangement two.